Density functional theory data (GGA-PBE) for an optimized crystal structure of SrMgTeBr2.

Cell lengths 6.1280, 6.1280, 6.1073 Å; angles 90.00, 90.00, 90.00 degrees
With the nearest neighbours (Å) after each atom.
Element x y z (fractional)
Sr 0.0000 0.0000 0.0000  2 Te 3.05
Mg 0.5000 0.5000 0.0000  8 Br 4.33, 4 Sr 4.33
Te 0.0000 0.0000 0.5000  2 Sr 3.05, 4 Br 3.06
Br 0.0000 0.5000 0.5000  2 Te 3.06
Br 0.5000 0.0000 0.5000  2 Te 3.06

The value obtained for the total magnetization is 0.00 Bohr magnetons per cell. As for the density of states at the Fermi level: 0.27 states/eV per atom. The value obtained for the calculated density is 2.9 Mg/m³. For the uncorrected formation energy, the calculation gives -322 meV/atom.